First-principles (GGA-PBE) data for AlFe3Si after structural relaxation, as listed in Alexandria via LeMat-Bulk.

* energy relative to the elements, uncorrected: 0.461 eV per atom
* distance to the lowest polymorph of the same formula: 0.000 eV per atom
* ρ: 5.09 Mg/m³

a b c (Å): 4.1712 4.1712 4.1712
angles (deg): 90.00 90.00 90.00
Last column: nearest neighbours and their distance in Å.
Space group Pm-3m (No. 221)
One atom of each set of equivalent atoms:
Al1 0.0000 0.0000 0.0000  12 Fe 2.95
Fe1 0.0000 0.5000 0.5000  2 Si 2.09
Si1 0.5000 0.5000 0.5000  6 Fe 2.09

---

First-principles (GGA-PBE) data for AlFeSi after structural relaxation, as listed in Alexandria via LeMat-Bulk.

* energy relative to the elements, uncorrected: -0.331 eV per atom
* ρ: 4.39 Mg/m³

a b c (Å): 4.5841 3.9497 4.9033
angles (deg): 90.00 109.22 90.00
Last column: nearest neighbours and their distance in Å.
Space group P2_1/m (No. 11)
One atom of each set of equivalent atoms:
Al1 0.1393 0.2500 0.4021  4 Fe 2.42-2.49, 2 Al 2.69
Fe1 0.1159 0.2500 0.8870  4 Si 2.28-2.35, 4 Al 2.42-2.49
Si1 0.3778 0.7500 0.0831  4 Fe 2.28-2.35, 2 Si 2.53

---

First-principles (GGA-PBE) data for AlFeSi after structural relaxation, as listed in Alexandria via LeMat-Bulk.

* energy relative to the elements, uncorrected: 0.041 eV per atom
* ρ: 4.22 Mg/m³

a b c (Å): 5.5898 5.5898 5.5898
angles (deg): 90.00 90.00 90.00
Last column: nearest neighbours and their distance in Å.
Space group F-43m (No. 216)
One atom of each set of equivalent atoms:
Al1 0.0000 0.0000 0.0000  4 Si 2.42
Fe1 0.0000 0.0000 0.5000  4 Si 2.42
Si1 0.2500 0.2500 0.7500  4 Fe 2.42, 4 Al 2.42

---

First-principles (GGA-PBE) data for Al3FeSi2 after structural relaxation, as listed in Alexandria via LeMat-Bulk.

* energy relative to the elements, uncorrected: -0.259 eV per atom
* distance to the lowest polymorph of the same formula: 0.000 eV per atom
* ρ: 3.68 Mg/m³

a b c (Å): 6.0594 6.0609 9.4796
angles (deg): 90.00 90.00 90.00
Last column: nearest neighbours and their distance in Å.
Space group Pbcn (No. 60)
One atom of each set of equivalent atoms:
Al1 0.0000 0.0000 0.0000  2 Fe 2.37
Al2 0.1385 0.3687 0.1353  2 Fe 2.56-2.60, 4 Si 2.60-2.77, 3 Al 2.66-2.75
Fe1 0.0000 0.0128 0.2500  6 Al 2.37-2.60, 4 Si 2.43-2.46
Si1 0.1637 0.3270 0.8447  2 Fe 2.43-2.46, 4 Al 2.60-2.71, 1 Si 2.68

---

First-principles (GGA-PBE) data for AlFeSi after structural relaxation, as listed in Alexandria via LeMat-Bulk.

* energy relative to the elements, uncorrected: -0.180 eV per atom
* ρ: 4.79 Mg/m³

a b c (Å): 3.8873 3.8873 2.9365
angles (deg): 90.00 90.00 120.00
Last column: nearest neighbours and their distance in Å.
Space group P-6m2 (No. 187)
One atom of each set of equivalent atoms:
Al1 0.0000 0.0000 0.0000  6 Fe 2.68, 6 Si 2.68, 2 Al 2.94
Fe1 0.6667 0.3333 0.5000  3 Si 2.24
Si1 0.3333 0.6667 0.5000  3 Fe 2.24

---

First-principles (GGA-PBE) data for AlFe6Si after structural relaxation, as listed in Alexandria via LeMat-Bulk.

* energy relative to the elements, uncorrected: -0.223 eV per atom
* ρ: 6.87 Mg/m³

a b c (Å): 7.2184 10.2175 10.2235
angles (deg): 90.00 90.00 90.00
Last column: nearest neighbours and their distance in Å.
Space group Cmmm (No. 65)
One atom of each set of equivalent atoms:
Al1 0.0000 0.0000 0.2497  12 Fe 2.55-2.58
Al2 0.0000 0.2471 0.0000  12 Fe 2.53-2.59
Fe1 0.0000 0.0000 0.0000  4 Al 2.53-2.55, 8 Fe 2.58
Fe2 0.0000 0.0000 0.5000  2 Si 2.52, 2 Al 2.56, 8 Fe 2.56
Fe3 0.0000 0.2501 0.2537  2 Si 2.52-2.55, 8 Fe 2.53-2.58, 2 Al 2.56-2.59
Fe4 0.0000 0.5000 0.0000  8 Fe 2.54, 2 Si 2.55, 2 Al 2.58
Fe5 0.0000 0.5000 0.5000  8 Fe 2.53, 4 Si 2.56-2.59
Fe6 0.2465 0.3753 0.1269  1 Si 2.52, 8 Fe 2.54-2.60, 3 Al 2.56-2.57
Fe7 0.2471 0.3748 0.3768  8 Fe 2.52-2.56, 3 Si 2.54-2.55, 1 Al 2.58
Si1 0.0000 0.2470 0.5000  12 Fe 2.52-2.59
Si2 0.0000 0.5000 0.2497  12 Fe 2.52-2.56

---

First-principles (GGA-PBE) data for SmAl2Fe2Si after structural relaxation, as listed in Alexandria via LeMat-Bulk.

* energy relative to the elements, uncorrected: -0.290 eV per atom
* ρ: 5.64 Mg/m³

a b c (Å): 4.2281 4.2281 5.6652
angles (deg): 90.00 90.00 90.00
Last column: nearest neighbours and their distance in Å.
Space group P4/mmm (No. 123)
One atom of each set of equivalent atoms:
Sm1 0.0000 0.0000 0.0000  2 Si 2.83
Al1 0.5000 0.5000 0.2474  4 Fe 2.55, 1 Al 2.80
Fe1 0.0000 0.5000 0.5000  2 Si 2.11
Si1 0.0000 0.0000 0.5000  4 Fe 2.11

---

First-principles (GGA-PBE) data for TbAl9Fe4Si6 after structural relaxation, as listed in Alexandria via LeMat-Bulk.

* energy relative to the elements, uncorrected: -0.400 eV per atom
* ρ: 4.63 Mg/m³

a b c (Å): 8.6652 8.6652 15.1722
angles (deg): 90.00 90.00 90.00
Last column: nearest neighbours and their distance in Å.
Space group P4_2/nmc (No. 137, origin choice 2)
One atom of each set of equivalent atoms:
Tb1 0.2500 0.2500 0.1640  8 Al 3.00-3.09, 6 Si 3.01-3.17, 6 Fe 3.15-3.33
Al1 0.0045 0.5474 0.4192  3 Fe 2.53-2.59, 2 Si 2.57-2.63, 3 Al 2.59-2.72
Al2 0.0669 0.2500 0.8390  3 Fe 2.46-2.59, 3 Si 2.60-2.64, 2 Al 2.64
Al3 0.0946 0.7500 0.8526  1 Fe 2.48, 3 Si 2.65-2.71, 3 Al 2.69-2.72
Al4 0.2500 0.7500 0.0233  2 Fe 2.43
Fe1 0.0052 0.5052 0.2500  4 Si 2.40-2.41, 4 Al 2.59
Fe2 0.0275 0.2500 0.9994  2 Si 2.31, 7 Al 2.43-2.54
Si1 0.0110 0.2500 0.3115  2 Fe 2.40, 1 Si 2.56, 3 Al 2.64-2.65
Si2 0.0929 0.7500 0.3064  2 Fe 2.41, 3 Al 2.57-2.60, 2 Si 2.58
Si3 0.1121 0.2500 0.4703  2 Fe 2.31, 2 Si 2.39-2.56